Arrangement P

# MnCrO4 | Alexandria via LeMat-Bulk | GGA+U | optimized geometry
# Crystal system   tetragonal
# DOS at the Fermi energy   0.0 states/eV/cell
# V   21.8 Å³ per atom
data_MnCrO4
_cell_length_a 5.4884
_cell_length_b 5.4884
_cell_length_c 8.6818
_cell_angle_alpha 90.00
_cell_angle_beta 90.00
_cell_angle_gamma 90.00
_symmetry_space_group_name_H-M 'P 1'
_symmetry_Int_Tables_number 1
loop_
_symmetry_equiv_pos_as_xyz
'x,y,z'
loop_
_atom_site_label
_atom_site_type_symbol
_atom_site_fract_x
_atom_site_fract_y
_atom_site_fract_z
Mn1 Mn 0.0000 0.0000 0.0000
Mn2 Mn 0.5000 0.5000 0.5000
Cr1 Cr 0.0000 0.5000 0.2500
Cr2 Cr 0.5000 0.0000 0.7500
O1 O 0.1040 0.2744 0.1391
O2 O 0.2256 0.6040 0.3609
O3 O 0.2744 0.8960 0.8609
O4 O 0.3960 0.2256 0.6391
O5 O 0.6040 0.7744 0.6391
O6 O 0.7256 0.1040 0.8609
O7 O 0.7744 0.3960 0.3609
O8 O 0.8960 0.7256 0.1391

***

Arrangement Q

# MnCrO4 | Alexandria via LeMat-Bulk | GGA+U | optimized geometry
# Crystal system   monoclinic
# V   13.7 Å³ per atom
data_MnCrO4
_cell_length_a 6.9674
_cell_length_b 6.9674
_cell_length_c 6.9591
_cell_angle_alpha 99.77
_cell_angle_beta 99.77
_cell_angle_gamma 85.53
_symmetry_space_group_name_H-M 'P 1'
_symmetry_Int_Tables_number 1
loop_
_symmetry_equiv_pos_as_xyz
'x,y,z'
loop_
_atom_site_label
_atom_site_type_symbol
_atom_site_fract_x
_atom_site_fract_y
_atom_site_fract_z
Mn1 Mn 0.1854 0.8146 0.0000
Mn2 Mn 0.2082 0.2082 0.3699
Mn3 Mn 0.7918 0.7918 0.6301
Mn4 Mn 0.8146 0.1854 0.0000
Cr1 Cr 0.2553 0.7447 0.5000
Cr2 Cr 0.2746 0.2746 0.9123
Cr3 Cr 0.7254 0.7254 0.0877
Cr4 Cr 0.7447 0.2553 0.5000
O1 O 0.1113 0.7981 0.6801
O2 O 0.1437 0.1437 0.0375
O3 O 0.2019 0.8887 0.3199
O4 O 0.2133 0.2133 0.6717
O5 O 0.2176 0.5075 0.9764
O6 O 0.2220 0.5169 0.3969
O7 O 0.4831 0.7780 0.6031
O8 O 0.4925 0.7824 0.0236
O9 O 0.5075 0.2176 0.9764
O10 O 0.5169 0.2220 0.3969
O11 O 0.7780 0.4831 0.6031
O12 O 0.7824 0.4925 0.0236
O13 O 0.7867 0.7867 0.3283
O14 O 0.7981 0.1113 0.6801
O15 O 0.8563 0.8563 0.9625
O16 O 0.8887 0.2019 0.3199

***

Most stable structure, least stable structure: arrangement Q, arrangement P.

***

Arrangement P

# MnCrO4 | Alexandria via LeMat-Bulk | GGA+U | optimized geometry
# Crystal system   monoclinic
# V   13.3 Å³ per atom
data_MnCrO4
_cell_length_a 5.6140
_cell_length_b 8.4370
_cell_length_c 8.2038
_cell_angle_alpha 90.00
_cell_angle_beta 124.92
_cell_angle_gamma 90.00
_symmetry_space_group_name_H-M 'P 1'
_symmetry_Int_Tables_number 1
loop_
_symmetry_equiv_pos_as_xyz
'x,y,z'
loop_
_atom_site_label
_atom_site_type_symbol
_atom_site_fract_x
_atom_site_fract_y
_atom_site_fract_z
Mn1 Mn 0.1584 0.0579 0.3841
Mn2 Mn 0.1584 0.4421 0.8841
Mn3 Mn 0.8416 0.5579 0.1159
Mn4 Mn 0.8416 0.9421 0.6159
Cr1 Cr 0.3478 0.6874 0.6178
Cr2 Cr 0.3478 0.8126 0.1178
Cr3 Cr 0.6522 0.1874 0.8822
Cr4 Cr 0.6522 0.3126 0.3822
O1 O 0.1440 0.6447 0.0599
O2 O 0.1440 0.8553 0.5599
O3 O 0.1800 0.5680 0.4241
O4 O 0.1800 0.9320 0.9241
O5 O 0.3320 0.2378 0.8301
O6 O 0.3320 0.2622 0.3301
O7 O 0.4026 0.5943 0.8208
O8 O 0.4026 0.9057 0.3208
O9 O 0.5974 0.0943 0.6792
O10 O 0.5974 0.4057 0.1792
O11 O 0.6680 0.7378 0.6699
O12 O 0.6680 0.7622 0.1699
O13 O 0.8200 0.0680 0.0759
O14 O 0.8200 0.4320 0.5759
O15 O 0.8560 0.1447 0.4401
O16 O 0.8560 0.3553 0.9401

***

Arrangement Q

# MnCrO4 | Alexandria via LeMat-Bulk | GGA+U | optimized geometry
# Crystal system   monoclinic
# V   11.4 Å³ per atom
data_MnCrO4
_cell_length_a 6.1797
_cell_length_b 6.1797
_cell_length_c 5.1856
_cell_angle_alpha 103.04
_cell_angle_beta 103.04
_cell_angle_gamma 126.68
_symmetry_space_group_name_H-M 'P 1'
_symmetry_Int_Tables_number 1
loop_
_symmetry_equiv_pos_as_xyz
'x,y,z'
loop_
_atom_site_label
_atom_site_type_symbol
_atom_site_fract_x
_atom_site_fract_y
_atom_site_fract_z
Mn1 Mn 0.1928 0.8072 0.7500
Mn2 Mn 0.8072 0.1928 0.2500
Cr1 Cr 0.0729 0.9271 0.2500
Cr2 Cr 0.9271 0.0729 0.7500
O1 O 0.0267 0.3995 0.6806
O2 O 0.1325 0.2630 0.1969
O3 O 0.2630 0.1325 0.6969
O4 O 0.3995 0.0267 0.1806
O5 O 0.6005 0.9733 0.8194
O6 O 0.7370 0.8675 0.3031
O7 O 0.8675 0.7370 0.8031
O8 O 0.9733 0.6005 0.3194

***

Arrangement R

# MnCrO4 | Alexandria via LeMat-Bulk | GGA+U | optimized geometry
# Crystal system   orthorhombic
# V   13.5 Å³ per atom
data_MnCrO4
_cell_length_a 5.1326
_cell_length_b 5.1326
_cell_length_c 6.6854
_cell_angle_alpha 90.00
_cell_angle_beta 90.00
_cell_angle_gamma 113.39
_symmetry_space_group_name_H-M 'P 1'
_symmetry_Int_Tables_number 1
loop_
_symmetry_equiv_pos_as_xyz
'x,y,z'
loop_
_atom_site_label
_atom_site_type_symbol
_atom_site_fract_x
_atom_site_fract_y
_atom_site_fract_z
Mn1 Mn 0.0000 0.0000 0.0000
Mn2 Mn 0.0000 0.0000 0.5000
Cr1 Cr 0.3562 0.6438 0.7500
Cr2 Cr 0.6438 0.3562 0.2500
O1 O 0.2174 0.2812 0.7500
O2 O 0.2443 0.7557 0.5503
O3 O 0.2443 0.7557 0.9497
O4 O 0.2812 0.2174 0.2500
O5 O 0.7188 0.7826 0.7500
O6 O 0.7557 0.2443 0.0503
O7 O 0.7557 0.2443 0.4497
O8 O 0.7826 0.7188 0.2500

***

Most stable structure, least stable structure: arrangement R, arrangement Q.

***

Arrangement P

# MnCr3O | Alexandria via LeMat-Bulk | GGA+U | optimized geometry
# Crystal system   cubic
# DOS at the Fermi energy   0.9 states/eV/cell
# V   16.3 Å³ per atom
data_MnCr3O
_cell_length_a 4.3335
_cell_length_b 4.3335
_cell_length_c 4.3335
_cell_angle_alpha 90.00
_cell_angle_beta 90.00
_cell_angle_gamma 90.00
_symmetry_space_group_name_H-M 'P 1'
_symmetry_Int_Tables_number 1
loop_
_symmetry_equiv_pos_as_xyz
'x,y,z'
loop_
_atom_site_label
_atom_site_type_symbol
_atom_site_fract_x
_atom_site_fract_y
_atom_site_fract_z
Mn1 Mn 0.0000 0.0000 0.0000
Cr1 Cr 0.0000 0.5000 0.5000
Cr2 Cr 0.5000 0.0000 0.5000
Cr3 Cr 0.5000 0.5000 0.0000
O1 O 0.5000 0.5000 0.5000

***

Arrangement Q

# MnCr3O | Alexandria via LeMat-Bulk | GGA+U | optimized geometry
# Crystal system   cubic
# DOS at the Fermi energy   3.4 states/eV/cell
# V   22.5 Å³ per atom
data_MnCr3O
_cell_length_a 4.8292
_cell_length_b 4.8292
_cell_length_c 4.8292
_cell_angle_alpha 90.00
_cell_angle_beta 90.00
_cell_angle_gamma 90.00
_symmetry_space_group_name_H-M 'P 1'
_symmetry_Int_Tables_number 1
loop_
_symmetry_equiv_pos_as_xyz
'x,y,z'
loop_
_atom_site_label
_atom_site_type_symbol
_atom_site_fract_x
_atom_site_fract_y
_atom_site_fract_z
Mn1 Mn 0.0000 0.0000 0.0000
Cr1 Cr 0.0000 0.0000 0.5000
Cr2 Cr 0.0000 0.5000 0.0000
Cr3 Cr 0.5000 0.0000 0.0000
O1 O 0.5000 0.5000 0.5000

***

Most stable structure, least stable structure: arrangement P, arrangement Q.

***

Arrangement P

# MnCrP2O8 | Alexandria via LeMat-Bulk | GGA+U | optimized geometry
# Crystal system   monoclinic
# V   11.6 Å³ per atom
data_MnCrP2O8
_cell_length_a 4.8334
_cell_length_b 5.8763
_cell_length_c 9.8465
_cell_angle_alpha 90.00
_cell_angle_beta 91.68
_cell_angle_gamma 90.00
_symmetry_space_group_name_H-M 'P 1'
_symmetry_Int_Tables_number 1
loop_
_symmetry_equiv_pos_as_xyz
'x,y,z'
loop_
_atom_site_label
_atom_site_type_symbol
_atom_site_fract_x
_atom_site_fract_y
_atom_site_fract_z
Mn1 Mn 0.0743 0.2500 0.2217
Mn2 Mn 0.9257 0.7500 0.7783
Cr1 Cr 0.4468 0.2500 0.7245
Cr2 Cr 0.5532 0.7500 0.2755
P1 P 0.1018 0.7500 0.0932
P2 P 0.3868 0.7500 0.5931
P3 P 0.6132 0.2500 0.4069
P4 P 0.8982 0.2500 0.9068
O1 O 0.1579 0.7500 0.9406
O2 O 0.2066 0.2500 0.8835
O3 O 0.2470 0.5425 0.6652
O4 O 0.2470 0.9575 0.6652
O5 O 0.2629 0.5479 0.1669
O6 O 0.2629 0.9521 0.1669
O7 O 0.2946 0.2500 0.3826
O8 O 0.3304 0.7500 0.4400
O9 O 0.6696 0.2500 0.5600
O10 O 0.7054 0.7500 0.6174
O11 O 0.7371 0.0479 0.8331
O12 O 0.7371 0.4521 0.8331
O13 O 0.7530 0.0425 0.3348
O14 O 0.7530 0.4575 0.3348
O15 O 0.7934 0.7500 0.1165
O16 O 0.8421 0.2500 0.0594

***

Arrangement Q

# MnCrP2O8 | Alexandria via LeMat-Bulk | GGA+U | optimized geometry
# Crystal system   trigonal
# DOS at the Fermi energy   8.5 states/eV/cell
# V   12.2 Å³ per atom
data_MnCrP2O8
_cell_length_a 8.4380
_cell_length_b 8.4380
_cell_length_c 8.4380
_cell_angle_alpha 61.55
_cell_angle_beta 61.55
_cell_angle_gamma 61.55
_symmetry_space_group_name_H-M 'P 1'
_symmetry_Int_Tables_number 1
loop_
_symmetry_equiv_pos_as_xyz
'x,y,z'
loop_
_atom_site_label
_atom_site_type_symbol
_atom_site_fract_x
_atom_site_fract_y
_atom_site_fract_z
Mn1 Mn 0.0000 0.0000 0.0000
Mn2 Mn 0.2094 0.2094 0.2094
Mn3 Mn 0.5000 0.5000 0.5000
Cr1 Cr 0.3548 0.3548 0.3548
Cr2 Cr 0.7126 0.7126 0.7126
Cr3 Cr 0.8554 0.8554 0.8554
P1 P 0.1051 0.8052 0.4039
P2 P 0.3084 0.6058 0.9016
P3 P 0.4039 0.1051 0.8052
P4 P 0.6058 0.9016 0.3084
P5 P 0.8052 0.4039 0.1051
P6 P 0.9016 0.3084 0.6058
O1 O 0.0352 0.8438 0.2490
O2 O 0.1025 0.7599 0.9203
O3 O 0.1044 0.2972 0.4504
O4 O 0.1794 0.9552 0.3671
O5 O 0.2490 0.0352 0.8438
O6 O 0.2573 0.5999 0.4217
O7 O 0.2972 0.4504 0.1044
O8 O 0.3392 0.5373 0.7486
O9 O 0.3671 0.1794 0.9552
O10 O 0.4217 0.2573 0.5999
O11 O 0.4504 0.1044 0.2972
O12 O 0.4623 0.6801 0.8553
O13 O 0.5373 0.7486 0.3392
O14 O 0.5999 0.4217 0.2573
O15 O 0.6078 0.9472 0.7907
O16 O 0.6801 0.8553 0.4623
O17 O 0.7486 0.3392 0.5373
O18 O 0.7599 0.9203 0.1025
O19 O 0.7907 0.6078 0.9472
O20 O 0.8438 0.2490 0.0352
O21 O 0.8553 0.4623 0.6801
O22 O 0.9203 0.1025 0.7599
O23 O 0.9472 0.7907 0.6078
O24 O 0.9552 0.3671 0.1794

***

Most stable structure, least stable structure: arrangement P, arrangement Q.